# Ca2GePb2 | Alexandria via LeMat-Bulk | PBE | optimized geometry
data_Ca2GePb2
_space_group_name_H-M_alt 'P 4/m b m'
_space_group_IT_number 127
_space_group_name_Hall '-P 4 2ab'
_cell_length_a 7.813
_cell_length_b 7.813
_cell_length_c 4.970
_cell_angle_alpha 90.00
_cell_angle_beta 90.00
_cell_angle_gamma 90.00
loop_
_atom_site_label
_atom_site_type_symbol
_atom_site_fract_x
_atom_site_fract_y
_atom_site_fract_z
_atom_site_occupancy
Ca1 Ca 0.161 0.339 0.000 1
Ge1 Ge 0.000 0.000 0.000 1
Pb1 Pb 0.148 0.648 0.500 1
# **Calculated formation energy**: -0.20 eV/atom
# **Size of the total moment**: 0.00 Bohr magnetons per cell